Record 1
Ac6Pt2AuBr3: relaxed, GGA-PBE.

Properties
space-group type = C2/m
total moment = 0.000 μB/atom
energy = -4.9996 eV per atom

Structure (POSCAR):
```
Ac6Pt2AuBr3
1.0
-0.4034 7.6282 1.6072
-5.3768 -3.3108 -4.5895
-2.6758 -3.0665 7.5609
Pt Ac Br Au
2 6 3 1
Direct
0.6666 0.3334 0.0000
0.3334 0.6666 0.0000
0.9341 0.5904 0.8021
0.7223 0.7223 0.1979
0.0659 0.4096 0.1979
0.2777 0.2777 0.8021
0.5904 0.9341 0.8021
0.4096 0.0659 0.1979
0.8332 0.1668 0.5000
0.1668 0.8332 0.5000
0.5000 0.5000 0.5000
0.0000 0.0000 0.0000
```


Record 2
LaZrBe2O: relaxed, GGA-PBE.

Properties
space-group type = P4/mmm
total moment = 0.000 μB/atom
energy = -5.2963 eV per atom

Structure (POSCAR):
```
LaZrBe2O
1.0
4.1599 0.0000 0.0000
0.0000 4.7356 0.0000
0.0000 0.0000 4.1599
Be Zr La O
2 1 1 1
Direct
0.5000 0.0000 0.0000
0.0000 0.0000 0.5000
0.5000 0.5000 0.5000
0.0000 0.5000 0.0000
0.0000 0.0000 0.0000
```


Record 3
Mn3HOs: relaxed, GGA-PBE.

Properties
offset from the most stable computed form = 41 meV per atom
space-group type = Pm
total moment = 0.011 μB/atom
energy = -8.4179 eV per atom

Structure (POSCAR):
```
Mn3HOs
1.0
-2.3922 -3.3657 -0.6843
1.8576 -0.3217 -4.9117
3.3530 -2.6708 1.4143
H Mn Os
2 6 2
Direct
0.9085 0.9721 0.7621
0.4298 0.9721 0.7621
0.1691 0.7345 0.9418
0.1691 0.4926 0.4481
0.6692 0.2389 0.5884
0.1692 0.9809 0.4312
0.6691 0.7307 0.5895
0.6692 0.9838 0.1168
0.1691 0.2429 0.9456
0.6691 0.4956 0.1046
```


Record 4
CsAg2SnSe4: relaxed, GGA-PBE.

Properties
space-group type = I222
total moment = 0.000 μB/atom
energy = -3.4631 eV per atom

Structure (POSCAR):
```
CsAg2SnSe4
1.0
7.2634 0.0000 0.0000
3.6317 5.8232 -1.0541
3.6317 -0.4028 5.9041
Ag Se Cs Sn
2 4 1 1
Direct
0.5000 0.7489 0.2511
0.5000 0.2511 0.7489
0.3984 0.1322 0.4696
0.6016 0.5304 0.8678
0.9998 0.4696 0.1322
0.0002 0.8678 0.5304
0.0000 0.0000 0.0000
0.0000 0.5000 0.5000
```


- Among the records above, which one has the highest energy?
  CsAg2SnSe4


- What is the formula in the fourth record?
  CsAg2SnSe4